# 1
# PBE-GGA TbCeY2S6, relaxed
# Crystal system: trigonal
# DFT total energy (eV/atom): -6.85
# Formation energy from raw total energies (eV per atom): -2.024
data_TbCeY2S6
_space_group_name_H-M_alt 'R 3'
_space_group_IT_number 146
_space_group_name_Hall 'R 3'
_cell_length_a 7.0054
_cell_length_b 7.0054
_cell_length_c 18.6146
_cell_angle_alpha 90.00
_cell_angle_beta 90.00
_cell_angle_gamma 120.00
loop_
_atom_site_label
_atom_site_type_symbol
_atom_site_fract_x
_atom_site_fract_y
_atom_site_fract_z
Tb1 Tb 0.0000 0.0000 0.0000
Ce1 Ce 0.0000 0.0000 0.4960
Y1 Y 0.0000 0.0000 0.2025
Y2 Y 0.0000 0.0000 0.6998
S1 S 0.0328 0.3621 0.2689
S2 S 0.0482 0.6848 0.7684

# 2
# PBE-GGA TbCe2YS5, relaxed
# Crystal system: tetragonal
# DFT total energy (eV/atom): -6.31
# Formation energy from raw total energies (eV per atom): -1.462
data_TbCe2YS5
_space_group_name_H-M_alt 'P 4/m m m'
_space_group_IT_number 123
_space_group_name_Hall '-P 4 2'
_cell_length_a 4.948
_cell_length_b 4.948
_cell_length_c 10.310
_cell_angle_alpha 90.00
_cell_angle_beta 90.00
_cell_angle_gamma 90.00
loop_
_atom_site_label
_atom_site_type_symbol
_atom_site_fract_x
_atom_site_fract_y
_atom_site_fract_z
Tb1 Tb 0.000 0.000 0.000
Ce1 Ce 0.500 0.500 0.199
Y1 Y 0.000 0.000 0.500
S1 S 0.000 0.000 0.256
S2 S 0.000 0.500 0.000
S3 S 0.500 0.500 0.500